Below is an optimized crystal structure of GdTlHg, with properties calculated at the PBE level.

## Properties
VASP energy, eV per formula unit: -17.718
V, Å³/cell: 79.3
Fermi-level density of states, states/eV per cell: 2.57
Formation energy, kJ/mol of atoms: -31.2

a b c (Å): 4.9943 4.9943 3.6706
angles (deg): 90.00 90.00 120.00
Last column: nearest neighbours and their distance in Å.
Fractional positions:
Gd (0.0000, 0.0000, 0.0000)  3 Hg 3.23, 6 Tl 3.27-3.58
Tl (0.3333, 0.6667, 0.4208)  3 Hg 2.96, 3 Gd 3.27
Hg (0.6667, 0.3333, 0.6025)  3 Tl 2.96, 3 Gd 3.23

***

Below is an optimized crystal structure of Ti2Tc4Mo5, with properties calculated at the PBE level.

## Properties
VASP energy, eV per formula unit: -107.699
V, Å³/cell: 182.7
Fermi-level density of states, states/eV per cell: 10.39
Formation energy, kJ/mol of atoms: 32.5

a b c (Å): 9.0903 9.0903 7.9276
angles (deg): 90.55 90.55 16.19
Last column: nearest neighbours and their distance in Å.
Fractional positions:
Ti (0.1189, 0.1189, 0.4936)  2 Ti 2.56, 1 Mo 2.72, 2 Tc 2.82
Ti (0.8811, 0.8811, 0.5064)  2 Ti 2.56, 1 Mo 2.72, 2 Tc 2.82
Tc (0.3709, 0.3709, 0.8329)  2 Mo 2.53-2.62, 3 Tc 2.56-2.67
Tc (0.4993, 0.4993, 0.3264)  4 Tc 2.56-2.75, 1 Mo 2.64, 2 Ti 2.82
Tc (0.5007, 0.5007, 0.6736)  4 Tc 2.56-2.75, 1 Mo 2.64, 2 Ti 2.82
Tc (0.6291, 0.6291, 0.1671)  2 Mo 2.53-2.62, 3 Tc 2.56-2.67
Mo (0.0000, 0.0000, 0.0000)  2 Mo 2.56
Mo (0.2493, 0.2493, 0.6695)  1 Tc 2.53, 2 Mo 2.56, 1 Ti 2.72
Mo (0.3706, 0.3706, 0.1634)  4 Mo 2.56-2.85, 2 Tc 2.62-2.64
Mo (0.6294, 0.6294, 0.8366)  4 Mo 2.56-2.85, 2 Tc 2.62-2.64
Mo (0.7507, 0.7507, 0.3305)  1 Tc 2.53, 2 Mo 2.56, 1 Ti 2.72

***

Below is an optimized crystal structure of Ca2InCl, with properties calculated at the PBE level.

## Properties
VASP energy, eV per formula unit: -12.620
V, Å³/cell: 118.7
Formation energy without anion corrections, eV per formula unit: -4.03
Fermi-level density of states, states/eV per cell: 4.49

a b c (Å): 5.6495 5.6495 3.7184
angles (deg): 90.00 90.00 90.00
Last column: nearest neighbours and their distance in Å.
Fractional positions:
Ca (0.0000, 0.5000, 0.0000)  2 Cl 2.82
Ca (0.5000, 0.0000, 0.0000)  2 Cl 2.82
In (0.0000, 0.0000, 0.5000)  8 Ca 3.38, 2 In 3.72
Cl (0.5000, 0.5000, 0.0000)  4 Ca 2.82

***

Below is an optimized crystal structure of Cr2WSe, with properties calculated at the PBE level.

## Properties
VASP energy, eV per formula unit: -33.487
V, Å³/cell: 57.1
Formation energy without anion corrections, eV per formula unit: 2.20
Fermi-level density of states, states/eV per cell: 3.62

a b c (Å): 4.9169 4.9169 2.8828
angles (deg): 103.00 103.00 115.40
Last column: nearest neighbours and their distance in Å.
Fractional positions:
Cr (0.0000, 0.5000, 0.0000)  2 W 2.55, 2 Se 2.55, 2 Cr 2.63
Cr (0.5000, 0.0000, 0.0000)  2 Se 2.55, 2 W 2.55, 2 Cr 2.63
W (0.0000, 0.0000, 0.5000)  4 Cr 2.55, 2 Se 2.63
Se (0.5000, 0.5000, 0.5000)  4 Cr 2.55, 2 W 2.63